Computed, not measured: a relaxed structure of SrCaSbTe2 at the GGA-PBEsol level of DFT.

Calculated values
Uncorrected formation energy   -0.14 eV per atom
Space-group type   P4/mmm
Raw total energy   -16.27 eV for the cell shown
Crystal system   tetragonal

Geometry as POSCAR:
```
SrCaSbTe2
1.0
5.956 0.000 0.000
0.000 5.956 0.000
0.000 0.000 5.775
Sr Ca Sb Te
1 1 1 2
Direct
0.000 0.000 0.000 Sr
0.500 0.500 0.500 Ca
0.000 0.000 0.500 Sb
0.000 0.500 0.000 Te
0.500 0.000 0.000 Te
```



Computed, not measured: a relaxed structure of MnAsOs2 at the GGA-PBEsol level of DFT.

Calculated values
Space-group type   P2/m
Raw total energy   -38.07 eV for the cell shown
Formation energy from the elements   308 meV per atom
Crystal system   monoclinic

Geometry as POSCAR:
```
MnAsOs2
1.0
4.387 0.000 0.000
0.000 2.842 0.000
-1.810 0.000 4.441
Mn As Os
1 1 2
Direct
0.000 0.000 0.000 Mn
0.000 0.500 0.500 As
0.500 0.000 0.500 Os
0.500 0.500 0.000 Os
```



Computed, not measured: a relaxed structure of KZn2AsBr at the GGA-PBEsol level of DFT.

Calculated values
Uncorrected formation energy   0.73 eV per atom
Space-group type   P4/mmm
Raw total energy   -7.60 eV for the cell shown
Crystal system   tetragonal

Geometry as POSCAR:
```
KZn2AsBr
1.0
6.566 0.000 0.000
0.000 6.566 0.000
0.000 0.000 5.843
K Zn As Br
1 2 1 1
Direct
0.000 0.000 0.000 K
0.000 0.500 0.000 Zn
0.500 0.000 0.000 Zn
0.500 0.500 0.500 As
0.000 0.000 0.500 Br
```



Computed, not measured: a relaxed structure of Na3AlP2 at the GGA-PBEsol level of DFT.

Calculated values
Space-group type   Ibam
Raw total energy   -45.64 eV for the cell shown
Formation energy from the elements   -491 meV per atom
Crystal system   orthorhombic

Geometry as POSCAR:
```
Na3AlP2
1.0
-3.364 6.595 3.001
3.364 -6.595 3.001
3.364 6.595 -3.001
Na Al P
6 2 4
Direct
0.191 0.690 0.881 Na
0.250 0.250 0.000 Na
0.309 0.190 0.500 Na
0.691 0.810 0.500 Na
0.750 0.750 0.000 Na
0.809 0.310 0.119 Na
0.250 0.750 0.500 Al
0.750 0.250 0.500 Al
0.102 0.302 0.404 P
0.398 0.802 0.200 P
0.602 0.198 0.800 P
0.898 0.698 0.596 P
```



Computed, not measured: a relaxed structure of Y2Nb3Ge4 at the GGA-PBEsol level of DFT.

Calculated values
Space-group type   Pnma
Raw total energy   -293.13 eV for the cell shown
Formation energy from the elements   -824 meV per atom
Crystal system   orthorhombic

Geometry as POSCAR:
```
Y2Nb3Ge4
1.0
6.942 0.000 0.000
0.000 13.439 0.000
0.000 0.000 7.118
Y Nb Ge
8 12 16
Direct
0.003 0.095 0.173 Y
0.003 0.405 0.173 Y
0.497 0.595 0.673 Y
0.497 0.905 0.673 Y
0.503 0.095 0.327 Y
0.503 0.405 0.327 Y
0.997 0.595 0.827 Y
0.997 0.905 0.827 Y
0.160 0.627 0.329 Nb
0.160 0.873 0.329 Nb
0.165 0.250 0.512 Nb
0.335 0.750 0.012 Nb
0.340 0.127 0.829 Nb
0.340 0.373 0.829 Nb
0.660 0.627 0.171 Nb
0.660 0.873 0.171 Nb
0.665 0.250 0.988 Nb
0.835 0.750 0.488 Nb
0.840 0.127 0.671 Nb
0.840 0.373 0.671 Nb
0.040 0.250 0.879 Ge
0.174 0.042 0.539 Ge
0.174 0.458 0.539 Ge
0.195 0.750 0.638 Ge
0.305 0.250 0.138 Ge
0.326 0.542 0.039 Ge
0.326 0.958 0.039 Ge
0.460 0.750 0.379 Ge
0.540 0.250 0.621 Ge
0.674 0.042 0.961 Ge
0.674 0.458 0.961 Ge
0.695 0.750 0.862 Ge
0.805 0.250 0.362 Ge
0.826 0.542 0.461 Ge
0.826 0.958 0.461 Ge
0.960 0.750 0.121 Ge
```



Computed, not measured: a relaxed structure of TaNbCr2 at the GGA-PBEsol level of DFT.

Calculated values
Space-group type   Fm-3m
Raw total energy   -43.75 eV for the cell shown
Formation energy from the elements   26 meV per atom
Crystal system   cubic

Geometry as POSCAR:
```
TaNbCr2
1.0
0.000 3.064 3.064
3.064 0.000 3.064
3.064 3.064 0.000
Ta Nb Cr
1 1 2
Direct
0.000 0.000 0.000 Ta
0.500 0.500 0.500 Nb
0.250 0.250 0.250 Cr
0.750 0.750 0.750 Cr
```